#1
ZnC: single point on PBEsol structure, SCAN.

Calculated values
Magnetic moment (μB/f.u.): 0.00

Cell: 2.4821 2.4821 9.9573 Å, 90.00 90.00 120.00°
Last column: nearest neighbours and their distance in Å.
Space group P-3m1 (No. 164)
Inequivalent atoms, fractional coordinates:
Zn (0.3333, 0.6667, 0.1298) [2 per cell]  6 Zn 2.48
C (0.3333, 0.6667, 0.5000) [2 per cell]  3 C 1.43

***

#2
ZnC: single point on PBEsol structure, SCAN.

Calculated values
Magnetic moment (μB/f.u.): 0.00

Cell: 9.3063 2.5409 6.6603 Å, 90.00 118.80 90.00°
Last column: nearest neighbours and their distance in Å.
Space group Cm (No. 8)
Inequivalent atoms, fractional coordinates:
Zn (0.0000, 0.0000, 0.0000) [2 per cell]  2 C 2.06
Zn (0.0706, 0.5000, 0.5877) [2 per cell]  3 C 1.99-2.22
Zn (0.3310, 0.0000, 0.1491) [2 per cell]  3 C 2.12-2.20
C (0.1394, 0.5000, 0.9200) [2 per cell]  5 Zn 1.99-2.12
C (0.2473, 0.5000, 0.4885) [2 per cell]  2 C 1.42
C (0.3010, 0.0000, 0.4566) [2 per cell]  2 C 1.42

***

Here is how they stack up, most stable first: #1, #2.

***

#1
ZnC: single point on PBEsol structure, SCAN.

Calculated values
Magnetic moment (μB/f.u.): 0.00

Cell: 4.3367 4.3367 4.3367 Å, 90.00 90.00 90.00°
Last column: nearest neighbours and their distance in Å.
Space group Fm-3m (No. 225)
Inequivalent atoms, fractional coordinates:
Zn (0.0000, 0.0000, 0.0000) [4 per cell]  6 C 2.17
C (0.0000, 0.0000, 0.5000) [4 per cell]  6 Zn 2.17

***

#2
ZnC: single point on PBEsol structure, SCAN.

Calculated values
Magnetic moment (μB/f.u.): 0.00

Cell: 2.4818 2.4818 20.5707 Å, 90.00 90.00 120.00°
Last column: nearest neighbours and their distance in Å.
Space group P6_3/mmc (No. 194)
Inequivalent atoms, fractional coordinates:
Zn (0.3333, 0.6667, 0.0627) [4 per cell]  6 Zn 2.48
C (0.0000, 0.0000, 0.2500) [2 per cell]  3 C 1.43
C (0.3333, 0.6667, 0.7500) [2 per cell]  3 C 1.43

***

Here is how they stack up, most stable first: #2, #1.

***

#1
ZnC: single point on PBEsol structure, SCAN.

Calculated values
Magnetic moment (μB/f.u.): 0.00

Cell: 3.3526 3.3526 4.1757 Å, 90.00 90.00 120.00°
Last column: nearest neighbours and their distance in Å.
Space group P6_3/mmc (No. 194)
Inequivalent atoms, fractional coordinates:
Zn (0.3333, 0.6667, 0.2500) [2 per cell]  6 C 2.20
C (0.0000, 0.0000, 0.0000) [2 per cell]  2 C 2.09, 6 Zn 2.20

***

#2
ZnC: single point on PBEsol structure, SCAN.

Calculated values
Magnetic moment (μB/f.u.): 0.00

Cell: 2.6986 9.5460 3.2775 Å, 90.00 90.00 90.00°
Last column: nearest neighbours and their distance in Å.
Space group Cmcm (No. 63)
Inequivalent atoms, fractional coordinates:
Zn (0.0000, 0.1294, 0.2500) [4 per cell]  5 C 2.12-2.27
C (0.0000, 0.3669, 0.2500) [4 per cell]  5 Zn 2.12-2.27

***

Here is how they stack up, most stable first: #1, #2.

***

#1
ZnC: single point on PBEsol structure, SCAN.

Calculated values
Magnetic moment (μB/f.u.): 0.00

Cell: 2.4817 2.4817 30.8056 Å, 90.00 90.00 120.00°
Last column: nearest neighbours and their distance in Å.
Space group R-3m (No. 166, hexagonal axes)
Inequivalent atoms, fractional coordinates:
Zn (0.0000, 0.0000, 0.1247) [6 per cell]  6 Zn 2.48
C (0.0000, 0.0000, 0.3333) [6 per cell]  3 C 1.43

***

#2
ZnC: single point on PBEsol structure, SCAN.

Calculated values
Magnetic moment (μB/f.u.): 0.00

Cell: 3.1262 3.1262 4.9247 Å, 90.00 90.00 120.00°
Last column: nearest neighbours and their distance in Å.
Space group P6_3/mmc (No. 194)
Inequivalent atoms, fractional coordinates:
Zn (0.0000, 0.0000, 0.0000) [2 per cell]  6 C 2.18
C (0.3333, 0.6667, 0.2500) [2 per cell]  6 Zn 2.18

***

#3
ZnC: single point on PBEsol structure, SCAN.

Calculated values
Magnetic moment (μB/f.u.): 0.00

Cell: 4.8488 2.6789 3.2882 Å, 90.00 90.00 90.00°
Last column: nearest neighbours and their distance in Å.
Space group Pmma (No. 51)
Inequivalent atoms, fractional coordinates:
Zn (0.2500, 0.0000, 0.1668) [2 per cell]  4 C 2.09-2.16
C (0.2500, 0.5000, 0.6533) [2 per cell]  4 Zn 2.09-2.16

***

#4
ZnC: single point on PBEsol structure, SCAN.

Calculated values
Magnetic moment (μB/f.u.): 0.00

Cell: 4.1267 4.1267 4.1267 Å, 90.00 90.00 90.00°
Last column: nearest neighbours and their distance in Å.
Space group Pm-3m (No. 221)
Inequivalent atoms, fractional coordinates:
Zn (0.0000, 0.0000, 0.5000) [3 per cell]  4 C 2.06
C (0.0000, 0.5000, 0.5000) [3 per cell]  4 Zn 2.06

***

Here is how they stack up, most stable first: #1, #2, #3, #4.

***

#1
Zn2C: single point on PBEsol structure, SCAN.

Calculated values
Magnetic moment (μB/f.u.): 0.00

Cell: 10.4648 2.6236 7.2400 Å, 90.00 129.57 90.00°
Last column: nearest neighbours and their distance in Å.
Space group C2/m (No. 12)
Inequivalent atoms, fractional coordinates:
Zn (0.1128, 0.0000, 0.3172) [4 per cell]  2 C 2.04
Zn (0.2198, 0.0000, 0.7976) [4 per cell]  3 C 2.09-2.11
C (0.0795, 0.5000, 0.8352) [4 per cell]  5 Zn 2.04-2.11

***

#2
Zn2C: single point on PBEsol structure, SCAN.

Calculated values
Magnetic moment (μB/f.u.): 0.00

Cell: 4.7410 4.7410 3.2687 Å, 90.00 90.00 90.00°
Last column: nearest neighbours and their distance in Å.
Space group P4_2/mnm (No. 136)
Inequivalent atoms, fractional coordinates:
Zn (0.2003, 0.2003, 0.0000) [4 per cell]  3 C 2.01-2.12
C (0.0000, 0.0000, 0.5000) [2 per cell]  6 Zn 2.01-2.12

***

#3
Zn2C: single point on PBEsol structure, SCAN.

Calculated values
Magnetic moment (μB/f.u.): 0.00

Cell: 5.1381 5.1381 5.1381 Å, 90.00 90.00 90.00°
Last column: nearest neighbours and their distance in Å.
Space group Fm-3m (No. 225)
Inequivalent atoms, fractional coordinates:
Zn (0.2500, 0.2500, 0.2500) [8 per cell]  4 C 2.22
C (0.0000, 0.0000, 0.0000) [4 per cell]  8 Zn 2.22

***

Here is how they stack up, most stable first: #2, #3, #1.

***

#1
Zn3C4: single point on PBEsol structure, SCAN.

Calculated values
Magnetic moment (μB/f.u.): 0.00

Cell: 4.2384 4.2384 4.2384 Å, 90.00 90.00 90.00°
Last column: nearest neighbours and their distance in Å.
Space group Pm-3m (No. 221)
Inequivalent atoms, fractional coordinates:
Zn (0.0000, 0.0000, 0.5000) [3 per cell]  6 C 2.12
C (0.0000, 0.0000, 0.0000) [1 per cell]  6 Zn 2.12
C (0.0000, 0.5000, 0.5000) [3 per cell]  4 Zn 2.12

***

#2
Zn3C4: single point on PBEsol structure, SCAN.

Calculated values
Magnetic moment (μB/f.u.): 0.00

Cell: 4.1761 4.1761 4.1761 Å, 90.00 90.00 90.00°
Last column: nearest neighbours and their distance in Å.
Space group P-43m (No. 215)
Inequivalent atoms, fractional coordinates:
Zn (0.0000, 0.0000, 0.5000) [3 per cell]  4 C 2.24
C (0.3667, 0.3667, 0.3667) [4 per cell]  3 C 1.57

***

Here is how they stack up, most stable first: #2, #1.

***

#1
ZnC2: single point on PBEsol structure, SCAN.

Calculated values
Magnetic moment (μB/f.u.): 0.00

Cell: 6.8417 8.5116 6.5754 Å, 90.00 90.00 90.00°
Last column: nearest neighbours and their distance in Å.
Space group Cmmm (No. 65)
Inequivalent atoms, fractional coordinates:
Zn (0.0000, 0.0000, 0.0000) [2 per cell]  12 C 3.53-3.64
Zn (0.0000, 0.3607, 0.5000) [4 per cell]  4 C 2.07-2.21
C (0.0981, 0.1302, 0.5000) [8 per cell]  2 C 1.34-1.42
C (0.2273, 0.0000, 0.5000) [4 per cell]  2 C 1.42

***

#2
ZnC2: single point on PBEsol structure, SCAN.

Calculated values
Magnetic moment (μB/f.u.): 0.00

Cell: 2.5218 21.4560 2.5194 Å, 90.00 90.00 90.00°
Last column: nearest neighbours and their distance in Å.
Space group Cmcm (No. 63)
Inequivalent atoms, fractional coordinates:
Zn (0.0000, 0.1525, 0.2500) [4 per cell]  4 C 2.44, 4 Zn 2.52
C (0.0000, 0.2500, 0.7500) [4 per cell]  4 C 1.78
C (0.0000, 0.4965, 0.7500) [4 per cell]  2 C 1.27

***

Here is how they stack up, most stable first: #1, #2.

***

#1
ZnC2: single point on PBEsol structure, SCAN.

Calculated values
Magnetic moment (μB/f.u.): 0.00

Cell: 4.0002 4.0002 5.0384 Å, 90.00 90.00 90.00°
Last column: nearest neighbours and their distance in Å.
Space group I4/mmm (No. 139)
Inequivalent atoms, fractional coordinates:
Zn (0.0000, 0.0000, 0.0000) [2 per cell]  2 C 1.90
C (0.0000, 0.0000, 0.3764) [4 per cell]  1 C 1.25

***

#2
ZnC2: single point on PBEsol structure, SCAN.

Calculated values
Magnetic moment (μB/f.u.): 0.00

Cell: 5.9873 5.9873 5.9873 Å, 90.00 90.00 90.00°
Last column: nearest neighbours and their distance in Å.
Space group Fd-3m (No. 227, origin choice 2)
Inequivalent atoms, fractional coordinates:
Zn (0.1250, 0.1250, 0.1250) [8 per cell]  12 C 2.48, 4 Zn 2.59
C (0.0000, 0.0000, 0.5000) [16 per cell]  6 C 2.12

***

Here is how they stack up, most stable first: #1, #2.

***

#1
Zr3C2: single point on PBEsol structure, SCAN.

Calculated values
Magnetic moment (μB/f.u.): 0.00

Cell: 3.3124 3.3124 24.1335 Å, 90.00 90.00 120.00°
Last column: nearest neighbours and their distance in Å.
Space group R-3m (No. 166, hexagonal axes)
Inequivalent atoms, fractional coordinates:
Zr (0.0000, 0.0000, 0.0000) [3 per cell]  6 C 2.37
Zr (0.0000, 0.0000, 0.2266) [6 per cell]  3 C 2.25
C (0.0000, 0.0000, 0.3913) [6 per cell]  6 Zr 2.25-2.37

***

#2
Zr3C2: single point on PBEsol structure, SCAN.

Calculated values
Magnetic moment (μB/f.u.): 0.00

Cell: 3.3209 3.3209 8.0020 Å, 90.00 90.00 120.00°
Last column: nearest neighbours and their distance in Å.
Space group P-3m1 (No. 164)
Inequivalent atoms, fractional coordinates:
Zr (0.0000, 0.0000, 0.0000) [1 per cell]  6 C 2.37
Zr (0.3333, 0.6667, 0.3200) [2 per cell]  3 C 2.24-2.25
C (0.3333, 0.6667, 0.8260) [2 per cell]  6 Zr 2.24-2.37

***

Here is how they stack up, most stable first: #1, #2.

***

#1
Ca5Cd: single point on PBEsol structure, SCAN.

Calculated values
Magnetic moment (μB/f.u.): 0.18

Cell: 5.1940 14.9473 5.3774 Å, 90.00 90.00 90.00°
Last column: nearest neighbours and their distance in Å.
Space group Cmmm (No. 65)
Inequivalent atoms, fractional coordinates:
Ca (0.0000, 0.0000, 0.0000) [2 per cell]  8 Ca 3.52-3.53, 4 Cd 3.74
Ca (0.0000, 0.1522, 0.5000) [4 per cell]  2 Cd 3.45, 6 Ca 3.52-3.74
Ca (0.0000, 0.3405, 0.0000) [4 per cell]  10 Ca 3.53-3.89, 2 Cd 3.59
Cd (0.0000, 0.5000, 0.5000) [2 per cell]  12 Ca 3.45-3.74

***

#2
Ca5Cd: single point on PBEsol structure, SCAN.

Calculated values
Magnetic moment (μB/f.u.): 0.25

Cell: 13.1635 3.9688 8.7463 Å, 90.00 109.85 90.00°
Last column: nearest neighbours and their distance in Å.
Space group C2/m (No. 12)
Inequivalent atoms, fractional coordinates:
Ca (0.0000, 0.0000, 0.0000) [2 per cell]  10 Ca 3.65-3.97
Ca (0.1385, 0.5000, 0.3607) [4 per cell]  2 Cd 3.20
Ca (0.1667, 0.5000, 0.7971) [4 per cell]  2 Cd 3.41, 4 Ca 3.71-3.81
Cd (0.0000, 0.0000, 0.5000) [2 per cell]  8 Ca 3.20-3.41

***

Here is how they stack up, most stable first: #2, #1.

***

#1
CaCdN2F: single point on PBEsol structure, SCAN.

Calculated values
Magnetic moment (μB/f.u.): 1.96

Cell: 4.1133 4.1133 4.4383 Å, 90.00 90.00 90.00°
Last column: nearest neighbours and their distance in Å.
Space group P4/mmm (No. 123)
Inequivalent atoms, fractional coordinates:
Ca (0.0000, 0.0000, 0.0000) [1 per cell]  4 F 2.91, 8 N 3.03
Cd (0.5000, 0.5000, 0.5000) [1 per cell]  4 N 2.06, 2 F 2.22
N (0.0000, 0.5000, 0.5000) [2 per cell]  2 Cd 2.06
F (0.5000, 0.5000, 0.0000) [1 per cell]  2 Cd 2.22

***

#2
CaCdN2F: single point on PBEsol structure, SCAN.

Calculated values
Magnetic moment (μB/f.u.): 3.10

Cell: 4.5724 4.5724 4.1273 Å, 90.00 90.00 90.00°
Last column: nearest neighbours and their distance in Å.
Space group P4/mmm (No. 123)
Inequivalent atoms, fractional coordinates:
Ca (0.0000, 0.0000, 0.0000) [1 per cell]  2 F 2.06, 4 N 2.29
Cd (0.5000, 0.5000, 0.5000) [1 per cell]  8 N 3.08, 4 F 3.23
N (0.0000, 0.5000, 0.0000) [2 per cell]  2 Ca 2.29
F (0.0000, 0.0000, 0.5000) [1 per cell]  2 Ca 2.06

***

Here is how they stack up, most stable first: #1, #2.

***

#1
CaCd3I: single point on PBEsol structure, SCAN.

Calculated values
Magnetic moment (μB/f.u.): 0.00

Cell: 5.9859 5.9859 5.9859 Å, 90.00 90.00 90.00°
Last column: nearest neighbours and their distance in Å.
Space group Pm-3m (No. 221)
Inequivalent atoms, fractional coordinates:
Ca (0.0000, 0.0000, 0.0000) [1 per cell]  6 Cd 2.99
Cd (0.0000, 0.0000, 0.5000) [3 per cell]  2 Ca 2.99
I (0.5000, 0.5000, 0.5000) [1 per cell]  12 Cd 4.23

***

#2
CaCd3I: single point on PBEsol structure, SCAN.

Calculated values
Magnetic moment (μB/f.u.): 0.00

Cell: 5.7435 5.7435 5.7435 Å, 90.00 90.00 90.00°
Last column: nearest neighbours and their distance in Å.
Space group Pm-3m (No. 221)
Inequivalent atoms, fractional coordinates:
Ca (0.0000, 0.0000, 0.0000) [1 per cell]  12 Cd 4.06
Cd (0.0000, 0.5000, 0.5000) [3 per cell]  2 I 2.87
I (0.5000, 0.5000, 0.5000) [1 per cell]  6 Cd 2.87

***

Here is how they stack up, most stable first: #1, #2.